A PBEsol-optimized structure of Na3SiSnCO7, computed with meta-GGA SCAN.

Values from the calculation:
The final energy is -138.94 eV per formula unit. As for the crystal system: monoclinic. Its uncorrected formation energy is -47.250 kcal/mol of atoms.

abc: 5.1478 6.8403 9.3106
angles: 90.00 91.25 90.00
With the nearest neighbours (Å) after each atom.
Positions (direct):
Na 0.2525 0.5029 0.2539  5 O 2.31-2.53
O 0.2612 0.7500 0.0848  1 C 1.29
O 0.7955 0.9391 0.3146  1 Si 1.65
O 0.3857 0.7500 0.4217  1 Si 1.65
O 0.7955 0.5609 0.3146  1 Si 1.65
O 0.6143 0.2500 0.5783  1 Si 1.65
Na 0.7475 0.4971 0.7461  5 O 2.31-2.53
O 0.5069 0.2500 0.1168  1 C 1.29
Na 0.2219 0.2500 0.9115  6 O 2.38-2.66
Sn 0.2274 0.7500 0.6350  4 O 2.10-2.18
Na 0.7781 0.7500 0.0885  6 O 2.38-2.66
O 0.0552 0.7500 0.8703  1 C 1.31
O 0.2045 0.0609 0.6854  1 Si 1.65
Si 0.2941 0.2500 0.5887  4 O 1.65
C 0.2714 0.7500 0.9464  3 O 1.29-1.31
O 0.9448 0.2500 0.1297  1 C 1.31
C 0.7286 0.2500 0.0536  3 O 1.29-1.31
O 0.2045 0.4391 0.6854  1 Si 1.65
Si 0.7059 0.7500 0.4113  4 O 1.65
Na 0.7475 0.0029 0.7461  5 O 2.31-2.53
O 0.4931 0.7500 0.8832  1 C 1.29
O 0.7388 0.2500 0.9152  1 C 1.29
O 0.8305 0.7500 0.5764  1 Si 1.65
Na 0.2525 0.9971 0.2539  5 O 2.31-2.53
O 0.1695 0.2500 0.4236  1 Si 1.65
Sn 0.7726 0.2500 0.3650  4 O 2.10-2.18